Here is a relaxed Ba8Zn2Ga crystal from Alexandria. Energies are from PBE.

## Properties
- Energy above the lowest structure with this stoichiometry: 0.0 meV per atom

a b c (Å): 20.9974 5.9648 8.2465
angles (deg): 90.00 107.16 90.00
With the nearest neighbours (Å) after each atom.
Space group C2/m (No. 12)
Inequivalent atoms, fractional coordinates:
Ba (0.0354, 0.0000, 0.3050)  1 Zn 3.48, 2 Ga 3.57
Ba (0.0915, 0.5000, 0.9364)  1 Ga 3.54, 2 Zn 3.93
Ba (0.1674, 0.5000, 0.4680)  3 Zn 3.39-3.74, 1 Ga 3.60
Ba (0.2045, 0.0000, 0.8232)  1 Zn 3.35
Zn (0.1869, 0.0000, 0.2135)  5 Ba 3.35-3.74
Ga (0.0000, 0.5000, 0.5000)  8 Ba 3.54-3.60

***

Here is a relaxed BaZnGa3 crystal from Alexandria. Energies are from PBE.

a b c (Å): 5.0587 5.0587 5.0587
angles (deg): 90.00 90.00 90.00
With the nearest neighbours (Å) after each atom.
Space group Pm-3m (No. 221)
Inequivalent atoms, fractional coordinates:
Ba (0.0000, 0.0000, 0.0000)  12 Ga 3.58
Zn (0.5000, 0.5000, 0.5000)  6 Ga 2.53
Ga (0.0000, 0.5000, 0.5000)  2 Zn 2.53

***

Here is a relaxed Ba3Zn4Ga2 crystal from Alexandria. Energies are from PBE.

a b c (Å): 12.3519 4.6134 9.3922
angles (deg): 90.00 100.30 90.00
With the nearest neighbours (Å) after each atom.
Space group C2/m (No. 12)
Inequivalent atoms, fractional coordinates:
Ba (0.0000, 0.0000, 0.0000)  8 Zn 3.52-3.62, 4 Ga 3.54
Ba (0.1686, 0.5000, 0.6646)  4 Ga 3.52-3.59, 8 Zn 3.54-3.64
Zn (0.0541, 0.0000, 0.3848)  2 Ga 2.64, 1 Zn 2.74
Zn (0.2183, 0.5000, 0.0585)  1 Ga 2.68, 2 Zn 2.73
Ga (0.1051, 0.5000, 0.2762)  3 Zn 2.64-2.68

***

Here is a relaxed Ba3ZnGa crystal from Alexandria. Energies are from PBE.

## Properties
- Energy above the lowest structure with this stoichiometry: 0.0 meV per atom

a b c (Å): 5.8735 23.2073 5.8721
angles (deg): 90.00 90.00 90.00
With the nearest neighbours (Å) after each atom.
Space group Cmcm (No. 63)
Inequivalent atoms, fractional coordinates:
Ba (0.0000, 0.0791, 0.2500)  2 Ga 3.48, 2 Zn 3.50
Ba (0.0000, 0.2493, 0.2500)  4 Zn 3.58-3.59, 4 Ga 3.59-3.61, 2 Ba 3.94-3.95
Ba (0.0000, 0.4192, 0.2500)  2 Ga 3.46, 2 Zn 3.48
Zn (0.0000, 0.3386, 0.7500)  8 Ba 3.48-3.59
Ga (0.0000, 0.1599, 0.7500)  8 Ba 3.46-3.61

***

Here is a relaxed Ba2ZnGa7 crystal from Alexandria. Energies are from PBE.

a b c (Å): 4.5973 4.5973 10.8780
angles (deg): 90.00 90.00 90.00
With the nearest neighbours (Å) after each atom.
Space group P-4m2 (No. 115)
Inequivalent atoms, fractional coordinates:
Ba (0.0000, 0.5000, 0.2493)  14 Ga 3.50-3.57, 2 Zn 3.56
Zn (0.5000, 0.5000, 0.0000)  4 Ga 2.68
Ga (0.0000, 0.0000, 0.0000)  4 Ga 2.68
Ga (0.0000, 0.0000, 0.5000)  4 Ga 2.70
Ga (0.0000, 0.5000, 0.6308)  5 Ga 2.65-2.70
Ga (0.0000, 0.5000, 0.8740)  3 Ga 2.65-2.68, 2 Zn 2.68
Ga (0.5000, 0.5000, 0.5000)  4 Ga 2.70

***

Here is a relaxed Ba2Zn2Ga crystal from Alexandria. Energies are from PBE.

## Properties
- Energy above the lowest structure with this stoichiometry: 169.5 meV per atom

a b c (Å): 6.5376 6.5376 7.7380
angles (deg): 90.00 90.00 90.00
With the nearest neighbours (Å) after each atom.
Space group I4/mmm (No. 139)
Inequivalent atoms, fractional coordinates:
Ba (0.0000, 0.5000, 0.2500)  4 Zn 3.34
Zn (0.0000, 0.0000, 0.1584)  1 Zn 2.45, 1 Ga 2.64
Ga (0.0000, 0.0000, 0.5000)  2 Zn 2.64

***

Here is a relaxed BaZnGa3 crystal from Alexandria. Energies are from PBE.

a b c (Å): 6.4454 6.4487 6.3755
angles (deg): 90.00 120.19 90.00
With the nearest neighbours (Å) after each atom.
Space group Cm (No. 8)
Inequivalent atoms, fractional coordinates:
Ba (0.0000, 0.0000, 0.0000)  12 Ga 3.48-3.61, 4 Zn 3.49
Zn (0.3796, 0.0000, 0.7585)  5 Ga 2.64-2.67
Ga (0.0027, 0.2494, 0.5059)  2 Zn 2.67, 2 Ga 2.72
Ga (0.1177, 0.5000, 0.2369)  1 Zn 2.64, 4 Ga 2.72

***

Here is a relaxed BaZn4Ga12 crystal from Alexandria. Energies are from PBE.

a b c (Å): 8.9685 8.9685 8.9685
angles (deg): 90.00 90.00 90.00
With the nearest neighbours (Å) after each atom.
Space group Im-3 (No. 204)
Inequivalent atoms, fractional coordinates:
Ba (0.0000, 0.0000, 0.0000)  12 Ga 3.50, 8 Zn 3.88
Zn (0.2500, 0.2500, 0.2500)  6 Ga 2.59
Ga (0.0000, 0.1551, 0.3581)  2 Ga 2.55-2.78, 2 Zn 2.59

***

Here is a relaxed Ba4Zn2Ga crystal from Alexandria. Energies are from PBE.

a b c (Å): 5.8186 5.8186 28.5344
angles (deg): 90.00 90.00 120.00
With the nearest neighbours (Å) after each atom.
Space group R-3m (No. 166, hexagonal axes)
Inequivalent atoms, fractional coordinates:
Ba (0.0000, 0.0000, 0.1220)  1 Ga 3.48, 4 Zn 3.54-3.67
Ba (0.0000, 0.0000, 0.3728)  4 Zn 3.48-3.58, 3 Ga 3.54
Zn (0.0000, 0.0000, 0.2507)  8 Ba 3.48-3.67
Ga (0.0000, 0.0000, 0.0000)  8 Ba 3.48-3.54

***

Here is a relaxed Ba4ZnGa crystal from Alexandria. Energies are from PBE.

## Properties
- Energy above the lowest structure with this stoichiometry: 0.0 meV per atom

a b c (Å): 4.1642 4.1642 15.2237
angles (deg): 90.00 90.00 90.00
With the nearest neighbours (Å) after each atom.
Space group P4/mmm (No. 123)
Inequivalent atoms, fractional coordinates:
Ba (0.0000, 0.0000, 0.1263)  4 Ga 3.52, 1 Ba 3.85
Ba (0.5000, 0.5000, 0.3724)  4 Zn 3.53, 1 Ba 3.88
Zn (0.0000, 0.0000, 0.5000)  8 Ba 3.53
Ga (0.5000, 0.5000, 0.0000)  8 Ba 3.52

***

Here is a relaxed Ba2ZnGa3 crystal from Alexandria. Energies are from PBE.

a b c (Å): 8.9786 10.2092 15.4356
angles (deg): 90.00 90.00 90.00
With the nearest neighbours (Å) after each atom.
Space group Fmmm (No. 69)
Inequivalent atoms, fractional coordinates:
Ba (0.0000, 0.2463, 0.0000)  2 Zn 3.60, 10 Ga 3.62-3.64
Ba (0.2500, 0.2500, 0.2500)  8 Ga 3.63-3.64, 4 Zn 3.63
Zn (0.0000, 0.0000, 0.1667)  3 Ga 2.59-2.61
Ga (0.0000, 0.0000, 0.3342)  2 Ga 2.56, 1 Zn 2.59
Ga (0.2469, 0.0000, 0.4170)  2 Ga 2.56, 1 Zn 2.61

***

Here is a relaxed Ba6Zn2Ga crystal from Alexandria. Energies are from PBE.

## Properties
- Energy above the lowest structure with this stoichiometry: 55.5 meV per atom

a b c (Å): 11.2230 11.6666 11.8654
angles (deg): 90.00 90.00 90.00
With the nearest neighbours (Å) after each atom.
Space group Immm (No. 71)
Inequivalent atoms, fractional coordinates:
Ba (0.0000, 0.2456, 0.1816)  1 Zn 3.52, 2 Ga 3.58-3.67
Ba (0.1991, 0.3340, 0.5000)  3 Zn 3.45-3.51
Ba (0.2403, 0.0000, 0.3301)  1 Ga 3.54, 3 Zn 3.55-3.60
Zn (0.0000, 0.1093, 0.5000)  1 Zn 2.55
Zn (0.0000, 0.5000, 0.3406)  8 Ba 3.51-3.55, 1 Zn 3.78
Ga (0.0000, 0.0000, 0.0000)  8 Ba 3.58-3.89
Ga (0.0000, 0.5000, 0.0000)  8 Ba 3.54-3.67

***

Here is a relaxed Ba3Zn2Ga4 crystal from Alexandria. Energies are from PBE.

## Properties
- Energy above the lowest structure with this stoichiometry: 15.4 meV per atom

a b c (Å): 12.5256 4.4052 9.9258
angles (deg): 90.00 111.47 90.00
With the nearest neighbours (Å) after each atom.
Space group C2/m (No. 12)
Inequivalent atoms, fractional coordinates:
Ba (0.0000, 0.0000, 0.0000)  6 Ga 3.53-3.58, 4 Zn 3.75
Ba (0.0929, 0.5000, 0.6848)  8 Ga 3.45-3.69, 3 Zn 3.47-3.59, 1 Ba 3.55
Zn (0.1886, 0.5000, 0.2975)  4 Ga 2.62-2.69
Ga (0.1613, 0.0000, 0.4364)  3 Zn 2.62-2.69
Ga (0.2330, 0.5000, 0.0558)  2 Ga 2.57, 1 Zn 2.65

***

Here is a relaxed Ba4Zn3Ga crystal from Alexandria. Energies are from PBE.

a b c (Å): 4.6594 5.3363 11.4181
angles (deg): 90.00 90.00 90.00
With the nearest neighbours (Å) after each atom.
Space group Pmm2 (No. 25)
Inequivalent atoms, fractional coordinates:
Ba (0.0000, 0.0000, 0.0000)  3 Zn 3.45-3.51, 4 Ga 3.73
Ba (0.0000, 0.5000, 0.4975)  7 Zn 3.48-3.74
Ba (0.5000, 0.0000, 0.2954)  2 Ga 3.46, 5 Zn 3.49-3.73
Ba (0.5000, 0.5000, 0.7980)  1 Ga 3.47, 6 Zn 3.49-3.74
Zn (0.0000, 0.0000, 0.6930)  2 Zn 2.55
Zn (0.0000, 0.5000, 0.1922)  2 Ga 2.55
Zn (0.5000, 0.0000, 0.6014)  2 Zn 2.55
Ga (0.5000, 0.5000, 0.1022)  2 Zn 2.55

***

Here is a relaxed BaZn3Ga crystal from Alexandria. Energies are from PBE.

## Properties
- Energy above the lowest structure with this stoichiometry: 141.0 meV per atom

a b c (Å): 6.7735 11.7457 5.8553
angles (deg): 90.00 90.00 90.00
With the nearest neighbours (Å) after each atom.
Space group Cmcm (No. 63)
Inequivalent atoms, fractional coordinates:
Ba (0.0000, 0.1666, 0.2500)  12 Zn 3.34-3.41
Zn (0.0000, 0.3030, 0.7500)  2 Ga 2.74, 2 Zn 2.77
Zn (0.2043, 0.0985, 0.7500)  2 Ga 2.74, 2 Zn 2.77
Ga (0.0000, 0.5000, 0.0000)  6 Zn 2.74, 2 Ga 2.93

***

Here is a relaxed BaZn3Ga3 crystal from Alexandria. Energies are from PBE.

## Properties
- Energy above the lowest structure with this stoichiometry: 2.0 meV per atom

a b c (Å): 8.4292 4.5691 9.7054
angles (deg): 90.00 112.29 90.00
With the nearest neighbours (Å) after each atom.
Space group P2_1/m (No. 11)
Inequivalent atoms, fractional coordinates:
Ba (0.1449, 0.2500, 0.2666)  7 Ga 3.39-3.76, 8 Zn 3.42-3.53
Zn (0.0882, 0.7500, 0.5069)  4 Ga 2.54-2.79, 2 Zn 2.70
Zn (0.1863, 0.2500, 0.9223)  3 Ga 2.52-2.55
Zn (0.4610, 0.7500, 0.2997)  5 Ga 2.54-2.72
Ga (0.2247, 0.7500, 0.0388)  3 Zn 2.52-2.56
Ga (0.2273, 0.2500, 0.6752)  5 Zn 2.54-2.79
Ga (0.4067, 0.7500, 0.5590)  4 Zn 2.54-2.72

***

Here is a relaxed Ba2ZnGa4 crystal from Alexandria. Energies are from PBE.

a b c (Å): 6.7824 6.8834 8.9681
angles (deg): 90.00 109.77 90.00
With the nearest neighbours (Å) after each atom.
Space group P2_1/m (No. 11)
Inequivalent atoms, fractional coordinates:
Ba (0.1764, 0.2500, 0.4311)  9 Ga 3.44-3.68, 2 Zn 3.54-3.75
Ba (0.1845, 0.2500, 0.9053)  9 Ga 3.43-3.69, 1 Zn 3.61
Zn (0.3779, 0.7500, 0.7272)  4 Ga 2.55
Ga (0.2408, 0.7500, 0.9589)  1 Zn 2.55, 2 Ga 2.65
Ga (0.2581, 0.7500, 0.4254)  1 Zn 2.55, 2 Ga 2.63
Ga (0.3959, 0.5558, 0.2279)  1 Zn 2.55, 3 Ga 2.63-2.67

***

Here is a relaxed Ba3Zn9Ga2 crystal from Alexandria. Energies are from PBE.

a b c (Å): 4.8198 9.3304 14.1936
angles (deg): 90.00 90.00 90.00
With the nearest neighbours (Å) after each atom.
Space group Immm (No. 71)
Inequivalent atoms, fractional coordinates:
Ba (0.0000, 0.0000, 0.0000)  12 Zn 3.31-3.54
Ba (0.0000, 0.0000, 0.2931)  12 Zn 3.27-3.50, 2 Ga 3.38
Zn (0.0000, 0.2885, 0.1358)  4 Zn 2.76-3.03
Zn (0.0000, 0.3540, 0.3447)  4 Zn 2.73-3.03, 1 Ga 2.74
Zn (0.0000, 0.5000, 0.0000)  4 Zn 2.76, 4 Ga 2.93
Ga (0.0000, 0.1786, 0.5000)  4 Zn 2.74-2.93

***

Here is a relaxed BaZn2Ga2 crystal from Alexandria. Energies are from PBE.

a b c (Å): 4.5419 4.5419 11.0207
angles (deg): 90.00 90.00 90.00
With the nearest neighbours (Å) after each atom.
Space group P4/nmm (No. 129, origin choice 2)
Inequivalent atoms, fractional coordinates:
Ba (0.2500, 0.2500, 0.2483)  8 Zn 3.48-3.56, 8 Ga 3.48-3.59
Zn (0.2500, 0.2500, 0.6297)  5 Ga 2.68-2.69
Zn (0.2500, 0.7500, 0.0000)  4 Ga 2.66
Ga (0.2500, 0.2500, 0.8740)  5 Zn 2.66-2.69
Ga (0.2500, 0.7500, 0.5000)  4 Zn 2.68

***

Here is a relaxed BaZn3Ga3 crystal from Alexandria. Energies are from PBE.

## Properties
- Energy above the lowest structure with this stoichiometry: 21.2 meV per atom

a b c (Å): 7.0891 7.0891 7.0891
angles (deg): 90.00 90.00 90.00
With the nearest neighbours (Å) after each atom.
Space group Pm-3n (No. 223)
Inequivalent atoms, fractional coordinates:
Ba (0.0000, 0.0000, 0.0000)  12 Zn 3.96, 12 Ga 3.96
Zn (0.0000, 0.2500, 0.5000)  4 Ga 2.51
Ga (0.0000, 0.5000, 0.2500)  4 Zn 2.51

***

Here is a relaxed Ba2Zn3Ga2 crystal from Alexandria. Energies are from PBE.

a b c (Å): 12.4901 4.4039 7.1695
angles (deg): 90.00 103.69 90.00
With the nearest neighbours (Å) after each atom.
Space group C2/m (No. 12)
Inequivalent atoms, fractional coordinates:
Ba (0.1798, 0.0000, 0.2276)  5 Zn 3.50-3.60, 5 Ga 3.51-3.87
Zn (0.0000, 0.5000, 0.5000)  2 Zn 2.54, 4 Ga 2.66
Zn (0.0492, 0.5000, 0.8642)  2 Zn 2.54, 2 Ga 2.73
Ga (0.0952, 0.0000, 0.6718)  4 Zn 2.66-2.73

***

Here is a relaxed BaZnGa crystal from Alexandria. Energies are from PBE.

a b c (Å): 4.8764 8.2054 8.1277
angles (deg): 90.00 90.00 90.00
With the nearest neighbours (Å) after each atom.
Space group Imm2 (No. 44)
Inequivalent atoms, fractional coordinates:
Ba (0.0000, 0.0000, 0.0000)  6 Ga 3.34-3.51, 6 Zn 3.52-3.60
Ba (0.0000, 0.5000, 0.0914)  6 Ga 3.37-3.75, 6 Zn 3.38-3.43
Zn (0.0000, 0.1982, 0.3838)  3 Ga 2.80-2.90
Ga (0.0000, 0.3237, 0.7170)  3 Zn 2.80-2.90, 1 Ga 2.89

***

For the records above, the corresponding theoretical density values read 4.37 5.28 5.13 4.54 5.98 4.77 5.97 5.69 4.46 4.31 5.16 4.38 5.35 4.77 5.75 5.21 5.22 5.93 5.95 5.06 5.29 5.56 Mg/m³.
For the records above, the corresponding DFT formation energy values read -0.093 -0.069 -0.262 -0.228 -0.425 -0.075 -0.398 -0.005 -0.164 -0.200 -0.389 -0.128 -0.356 -0.220 -0.114 -0.089 -0.322 -0.172 -0.331 -0.070 -0.267 -0.322 eV/atom.